1.
# BeAlN, optimized geometry, DFT PBE
data_BeAlN
_chemical_formula_sum 'Be4 Al4 N4'
_cell_length_a 6.299
_cell_length_b 3.040
_cell_length_c 8.805
_cell_angle_alpha 90.00
_cell_angle_beta 128.94
_cell_angle_gamma 90.00
_symmetry_space_group_name_H-M 'P 1'
_symmetry_Int_Tables_number 1
_symmetry_space_group_name_Hall 'P 1'
loop_
_atom_site_label
_atom_site_type_symbol
_atom_site_fract_x
_atom_site_fract_y
_atom_site_fract_z
_atom_site_occupancy
Be1 Be 0.966 0.000 0.400 1
Be2 Be 0.966 0.500 0.900 1
Be3 Be 0.547 0.000 0.884 1
Be4 Be 0.547 0.500 0.384 1
Al1 Al 0.095 0.000 0.167 1
Al2 Al 0.095 0.500 0.667 1
Al3 Al 0.526 0.000 0.603 1
Al4 Al 0.526 0.500 0.103 1
N1 N 0.810 0.000 0.882 1
N2 N 0.810 0.500 0.382 1
N3 N 0.263 0.000 0.649 1
N4 N 0.263 0.500 0.149 1
# E_form (uncorrected) = -0.59 eV per atom

2.
# BeAlN, optimized geometry, DFT PBE
data_BeAlN
_chemical_formula_sum 'Be4 Al4 N4'
_cell_length_a 5.193
_cell_length_b 2.979
_cell_length_c 9.662
_cell_angle_alpha 90.00
_cell_angle_beta 121.55
_cell_angle_gamma 90.00
_symmetry_space_group_name_H-M 'P 1'
_symmetry_Int_Tables_number 1
_symmetry_space_group_name_Hall 'P 1'
loop_
_atom_site_label
_atom_site_type_symbol
_atom_site_fract_x
_atom_site_fract_y
_atom_site_fract_z
_atom_site_occupancy
Be1 Be 0.380 0.000 0.774 1
Be2 Be 0.380 0.500 0.274 1
Be3 Be 0.759 0.000 0.455 1
Be4 Be 0.759 0.500 0.955 1
Al1 Al 0.199 0.000 0.017 1
Al2 Al 0.199 0.500 0.517 1
Al3 Al 0.844 0.000 0.203 1
Al4 Al 0.844 0.500 0.703 1
N1 N 0.524 0.000 0.253 1
N2 N 0.524 0.500 0.753 1
N3 N 0.088 0.000 0.797 1
N4 N 0.088 0.500 0.297 1
# E_form (uncorrected) = -0.58 eV per atom

3.
# BeAl2N2, optimized geometry, DFT PBE
data_BeAl2N2
_chemical_formula_sum 'Be1 Al2 N2'
_cell_length_a 3.874
_cell_length_b 3.874
_cell_length_c 4.695
_cell_angle_alpha 65.63
_cell_angle_beta 65.63
_cell_angle_gamma 90.00
_symmetry_space_group_name_H-M 'P 1'
_symmetry_Int_Tables_number 1
_symmetry_space_group_name_Hall 'P 1'
loop_
_atom_site_label
_atom_site_type_symbol
_atom_site_fract_x
_atom_site_fract_y
_atom_site_fract_z
_atom_site_occupancy
Be1 Be 0.000 0.000 0.000 1
Al1 Al 0.750 0.250 0.500 1
Al2 Al 0.250 0.750 0.500 1
N1 N 0.220 0.220 0.560 1
N2 N 0.780 0.780 0.440 1
# E_form (uncorrected) = -0.39 eV per atom

4.
# BeAl2N, optimized geometry, DFT PBE
data_BeAl2N
_chemical_formula_sum 'Be1 Al2 N1'
_cell_length_a 4.050
_cell_length_b 4.050
_cell_length_c 4.050
_cell_angle_alpha 60.00
_cell_angle_beta 60.00
_cell_angle_gamma 60.00
_symmetry_space_group_name_H-M 'P 1'
_symmetry_Int_Tables_number 1
_symmetry_space_group_name_Hall 'P 1'
loop_
_atom_site_label
_atom_site_type_symbol
_atom_site_fract_x
_atom_site_fract_y
_atom_site_fract_z
_atom_site_occupancy
Be1 Be 0.000 0.000 0.000 1
Al1 Al 0.250 0.250 0.250 1
Al2 Al 0.750 0.750 0.750 1
N1 N 0.500 0.500 0.500 1
# E_form (uncorrected) = 0.89 eV per atom

5.
# BeAl2N2, optimized geometry, DFT PBE
data_BeAl2N2
_chemical_formula_sum 'Be2 Al4 N4'
_cell_length_a 5.548
_cell_length_b 5.548
_cell_length_c 2.839
_cell_angle_alpha 90.00
_cell_angle_beta 90.00
_cell_angle_gamma 90.00
_symmetry_space_group_name_H-M 'P 1'
_symmetry_Int_Tables_number 1
_symmetry_space_group_name_Hall 'P 1'
loop_
_atom_site_label
_atom_site_type_symbol
_atom_site_fract_x
_atom_site_fract_y
_atom_site_fract_z
_atom_site_occupancy
Be1 Be 0.000 0.000 0.000 1
Be2 Be 0.500 0.500 0.000 1
Al1 Al 0.164 0.664 0.500 1
Al2 Al 0.664 0.836 0.500 1
Al3 Al 0.836 0.336 0.500 1
Al4 Al 0.336 0.164 0.500 1
N1 N 0.334 0.834 0.000 1
N2 N 0.834 0.666 0.000 1
N3 N 0.666 0.166 0.000 1
N4 N 0.166 0.334 0.000 1
# E_form (uncorrected) = -0.10 eV per atom

6.
# BeAlN2, optimized geometry, DFT PBE
data_BeAlN2
_chemical_formula_sum 'Be2 Al2 N4'
_cell_length_a 4.035
_cell_length_b 4.035
_cell_length_c 5.347
_cell_angle_alpha 67.83
_cell_angle_beta 67.83
_cell_angle_gamma 90.00
_symmetry_space_group_name_H-M 'P 1'
_symmetry_Int_Tables_number 1
_symmetry_space_group_name_Hall 'P 1'
loop_
_atom_site_label
_atom_site_type_symbol
_atom_site_fract_x
_atom_site_fract_y
_atom_site_fract_z
_atom_site_occupancy
Be1 Be 0.500 0.500 0.000 1
Be2 Be 0.250 0.750 0.500 1
Al1 Al 0.000 0.000 0.000 1
Al2 Al 0.750 0.250 0.500 1
N1 N 0.598 0.125 0.250 1
N2 N 0.152 0.625 0.250 1
N3 N 0.375 0.402 0.750 1
N4 N 0.875 0.848 0.750 1
# E_form (uncorrected) = -0.68 eV per atom